(1)
Compound: Sr3ZnSn
Source: the Alexandria database
Functional: GGA-PBE
Structure: optimized geometry

Properties
crystal system: monoclinic
offset from the most stable computed form: 0 meV per atom
ρ: 3.98 g/cm3
formation energy: -337 meV/atom
spin magnetization: 0.00 Bohr magnetons per cell

Geometry as POSCAR:
```
Sr3ZnSn
1.0
8.597 0.000 0.000
0.000 9.927 -0.860
0.000 -4.092 9.090
Sr Sn Zn
12 4 4
Direct
0.500 0.210 0.210
0.500 0.790 0.790
0.750 0.450 0.051
0.000 0.710 0.710
0.637 0.366 0.635
0.363 0.634 0.365
0.750 0.950 0.551
0.250 0.050 0.449
0.250 0.550 0.949
0.000 0.290 0.290
0.137 0.134 0.865
0.863 0.866 0.135
0.281 0.437 0.563
0.219 0.937 0.063
0.719 0.563 0.437
0.781 0.063 0.937
0.493 0.828 0.171
0.007 0.328 0.671
0.507 0.172 0.829
0.993 0.672 0.329
```


(2)
Compound: Sr2ZnSn2
Source: the Alexandria database
Functional: GGA-PBE
Structure: optimized geometry

Properties
crystal system: orthorhombic
offset from the most stable computed form: 122 meV per atom
ρ: 4.81 g/cm3
formation energy: -442 meV/atom
spin magnetization: 0.00 Bohr magnetons per cell

Geometry as POSCAR:
```
Sr2ZnSn2
1.0
-3.335 -2.420 5.316
5.800 -3.428 2.077
0.706 8.468 0.042
Sn Sr Zn
4 4 2
Direct
0.111 0.827 0.222
0.889 0.173 0.778
0.389 0.605 0.778
0.611 0.395 0.222
0.860 0.655 0.720
0.140 0.345 0.280
0.640 0.935 0.280
0.360 0.065 0.720
0.250 0.500 0.000
0.750 0.500 0.000
```


(3)
Compound: SrZn2Sn
Source: the Alexandria database
Functional: GGA-PBE
Structure: optimized geometry

Properties
crystal system: orthorhombic
ρ: 5.32 g/cm3
formation energy: -160 meV/atom
spin magnetization: 0.00 Bohr magnetons per cell

Geometry as POSCAR:
```
SrZn2Sn
1.0
4.427 0.000 0.000
0.000 5.213 -2.985
0.000 -0.639 4.930
Zn Sr Sn
2 1 1
Direct
0.000 0.099 0.198
0.500 0.244 0.489
0.500 0.797 0.595
0.000 0.463 0.925
```


(4)
Compound: SrZn2Sn2
Source: the Alexandria database
Functional: GGA-PBE
Structure: optimized geometry

Properties
crystal system: tetragonal
ρ: 6.11 g/cm3
formation energy: -178 meV/atom
spin magnetization: 0.00 Bohr magnetons per cell

Geometry as POSCAR:
```
SrZn2Sn2
1.0
-5.436 -4.137 -4.295
5.923 -3.069 -4.540
0.328 -2.930 2.408
Zn Sn Sr
4 4 2
Direct
0.617 0.117 0.000
0.883 0.617 0.000
0.117 0.383 0.000
0.383 0.883 0.000
0.172 0.672 0.500
0.828 0.328 0.500
0.672 0.828 0.500
0.328 0.172 0.500
0.500 0.500 0.000
0.000 0.000 0.000
```


(5)
Compound: Sr5Zn2Sn
Source: the Alexandria database
Functional: GGA-PBE
Structure: optimized geometry

Properties
crystal system: tetragonal
ρ: 3.89 g/cm3
formation energy: -318 meV/atom
spin magnetization: 0.03 Bohr magnetons per cell

Geometry as POSCAR:
```
Sr5Zn2Sn
1.0
7.669 0.000 -3.620
-1.709 7.476 -3.620
0.090 0.112 10.123
Sr Sn Zn
10 2 4
Direct
0.465 0.322 0.287
0.178 0.035 0.713
0.535 0.678 0.713
0.500 0.500 0.000
0.035 0.535 0.713
0.822 0.965 0.287
0.322 0.822 0.287
0.000 0.000 0.000
0.965 0.465 0.287
0.678 0.178 0.713
0.250 0.250 0.500
0.750 0.750 0.500
0.393 0.893 0.000
0.607 0.107 0.000
0.107 0.393 0.000
0.893 0.607 0.000
```


(6)
Compound: Sr2ZnSn
Source: the Alexandria database
Functional: GGA-PBE
Structure: optimized geometry

Properties
crystal system: tetragonal
ρ: 4.66 g/cm3
formation energy: -431 meV/atom
spin magnetization: 0.00 Bohr magnetons per cell

Geometry as POSCAR:
```
Sr2ZnSn
1.0
-2.694 1.397 2.561
-4.164 -2.109 -3.230
0.224 -4.877 2.896
Sr Zn Sn
2 1 1
Direct
0.000 0.000 0.500
0.000 0.500 0.000
0.500 0.500 0.500
0.500 0.000 0.000
```